a | Ba2ClF3 after structural relaxation, computed with PBE.

The structure belongs to space group P-3m1 (No. 164); the cell edges are 4.4987, 4.4987 and 7.4272 Å and the angles 90.00°, 90.00° and 120.00°. The distinct sites, in fractional coordinates, are Ba at (0.3333, 0.6667, 0.2983), Cl at (0.0000, 0.0000, 0.0000), F at (0.0000, 0.0000, 0.5000) and F at (0.3333, 0.6667, 0.6684).

b | Ba2ClF3 after structural relaxation, computed with PBE.

The structure belongs to space group C2/m (No. 12); the cell edges are 17.339, 4.257 and 10.803 Å and the angles 90.00°, 102.23° and 90.00°. The distinct sites, in fractional coordinates, are Ba at (0.037, 0.000, 0.289), Ba at (0.141, 0.000, 0.961), Ba at (0.193, 0.500, 0.638), Cl at (0.000, 0.500, 0.500), Cl at (0.162, 0.500, 0.211), F at (0.000, 0.000, 0.000), F at (0.040, 0.500, 0.818), F at (0.122, 0.000, 0.711), F at (0.176, 0.000, 0.467) and F at (0.216, 0.500, 0.896).

Calculated relative energies: a 0.000; b 0.012, given in eV/atom

a | BaCl3F after structural relaxation, computed with PBE.

The structure belongs to space group Pm-3m (No. 221); the cell edges are 4.947, 4.947 and 4.947 Å and the angles 90.00°, 90.00° and 90.00°. The distinct sites, in fractional coordinates, are Ba at (0.000, 0.000, 0.000), Cl at (0.000, 0.500, 0.500) and F at (0.500, 0.500, 0.500).

b | BaCl3F after structural relaxation, computed with PBE.

The structure belongs to space group Pm-3m (No. 221); the cell edges are 6.137, 6.137 and 6.137 Å and the angles 90.00°, 90.00° and 90.00°. The distinct sites, in fractional coordinates, are Ba at (0.000, 0.000, 0.000), Cl at (0.000, 0.000, 0.500) and F at (0.500, 0.500, 0.500).

Calculated relative energies: a 0.000; b 0.227, given in eV/atom

a | BaN2ClF after structural relaxation, computed with PBE.

The structure belongs to space group P4/mmm (No. 123); the cell edges are 3.922, 3.922 and 5.248 Å and the angles 90.00°, 90.00° and 90.00°. The distinct sites, in fractional coordinates, are Ba at (0.000, 0.000, 0.000), N at (0.000, 0.500, 0.500), Cl at (0.500, 0.500, 0.500) and F at (0.500, 0.500, 0.000).

b | BaN2ClF after structural relaxation, computed with PBE.

The structure belongs to space group P4/mmm (No. 123); the cell edges are 5.780, 5.780 and 4.827 Å and the angles 90.00°, 90.00° and 90.00°. The distinct sites, in fractional coordinates, are Ba at (0.000, 0.000, 0.000), N at (0.000, 0.500, 0.000), Cl at (0.500, 0.500, 0.500) and F at (0.000, 0.000, 0.500).

Calculated relative energies: a 0.000; b 0.285, given in eV/atom

a | BaNClF2 after structural relaxation, computed with PBE.

The structure belongs to space group P4/mmm (No. 123); the cell edges are 4.919, 4.919 and 3.595 Å and the angles 90.00°, 90.00° and 90.00°. The distinct sites, in fractional coordinates, are Ba at (0.000, 0.000, 0.000), N at (0.500, 0.500, 0.000), Cl at (0.500, 0.500, 0.500) and F at (0.000, 0.500, 0.500).

b | BaNClF2 after structural relaxation, computed with PBE.

The structure belongs to space group P4/mmm (No. 123); the cell edges are 4.978, 4.978 and 6.376 Å and the angles 90.00°, 90.00° and 90.00°. The distinct sites, in fractional coordinates, are Ba at (0.000, 0.000, 0.000), N at (0.000, 0.000, 0.500), Cl at (0.500, 0.500, 0.500) and F at (0.000, 0.500, 0.000).

Calculated relative energies: a 0.000; b 0.170, given in eV/atom

a | BaPCl2F after structural relaxation, computed with PBE.

The structure belongs to space group P4/mmm (No. 123); the cell edges are 5.598, 5.598 and 3.915 Å and the angles 90.00°, 90.00° and 90.00°. The distinct sites, in fractional coordinates, are Ba at (0.000, 0.000, 0.000), P at (0.500, 0.500, 0.000), Cl at (0.000, 0.500, 0.500) and F at (0.500, 0.500, 0.500).

b | BaPCl2F after structural relaxation, computed with PBE.

The structure belongs to space group P4/mmm (No. 123); the cell edges are 5.876, 5.876 and 8.542 Å and the angles 90.00°, 90.00° and 90.00°. The distinct sites, in fractional coordinates, are Ba at (0.000, 0.000, 0.000), P at (0.000, 0.000, 0.500), Cl at (0.000, 0.500, 0.000) and F at (0.500, 0.500, 0.500).

Calculated relative energies: a 0.000; b 0.702, given in eV/atom

a | BaS2ClF after structural relaxation, computed with PBE.

The structure belongs to space group P4/mmm (No. 123); the cell edges are 4.384, 4.384 and 5.902 Å and the angles 90.00°, 90.00° and 90.00°. The distinct sites, in fractional coordinates, are Ba at (0.000, 0.000, 0.000), S at (0.000, 0.500, 0.500), Cl at (0.500, 0.500, 0.000) and F at (0.500, 0.500, 0.500).

b | BaS2ClF after structural relaxation, computed with PBE.

The structure belongs to space group P4/mmm (No. 123); the cell edges are 6.511, 6.511 and 5.839 Å and the angles 90.00°, 90.00° and 90.00°. The distinct sites, in fractional coordinates, are Ba at (0.000, 0.000, 0.000), S at (0.000, 0.500, 0.000), Cl at (0.000, 0.000, 0.500) and F at (0.500, 0.500, 0.500).

Calculated relative energies: a 0.000; b 0.687, given in eV/atom